The following is a DFT calculation (GGA-PBE) of a relaxed CaZr2CoN4 crystal.

a b c (Å): 3.244 5.762 11.191
angles (deg): 90.00 90.00 106.35
Each line ends with the local moment (μB).
Element x y z (fractional)
N 0.000 0.000 0.500  0.03
N 0.000 0.000 0.000  0.03
N 0.569 0.137 0.250  0.10
N 0.264 0.528 0.114  0.06
N 0.264 0.528 0.386  0.06
N 0.431 0.863 0.750  0.10
N 0.736 0.472 0.886  0.06
N 0.736 0.472 0.614  0.06
Zr 0.367 0.734 0.950  0.00
Zr 0.633 0.266 0.450  0.00
Zr 0.367 0.734 0.550  0.00
Zr 0.633 0.266 0.050  0.00
Co 0.841 0.682 0.750  1.07
Co 0.159 0.318 0.250  1.07
Ca 0.106 0.213 0.750  0.01
Ca 0.894 0.787 0.250  0.01

Formation energy from raw total energies = -1107 meV per atom



The following is a DFT calculation (GGA-PBE) of a relaxed NaCa2Co2 crystal.

a b c (Å): 7.791 7.791 4.005
angles (deg): 90.00 90.00 90.00
Each line ends with the local moment (μB).
Element x y z (fractional)
Co 0.902 0.598 0.000  1.55
Co 0.598 0.098 0.000  1.58
Co 0.402 0.902 0.000  1.59
Co 0.098 0.402 0.000  1.55
Na 0.500 0.500 0.000  -0.01
Na 0.000 0.000 0.000  -0.01
Ca 0.328 0.172 0.500  -0.06
Ca 0.172 0.672 0.500  -0.06
Ca 0.672 0.828 0.500  -0.06
Ca 0.828 0.328 0.500  -0.06

Formation energy = 0.33 eV/atom



The following is a DFT calculation (GGA-PBE) of a relaxed NaCaCo3 crystal.

a b c (Å): 4.608 4.608 4.608
angles (deg): 90.00 90.00 90.00
Each line ends with the local moment (μB).
Element x y z (fractional)
Co 0.000 0.500 0.000  1.82
Co 0.500 0.000 0.000  1.41
Co 0.000 0.000 0.500  1.67
Ca 0.500 0.500 0.500  -0.09
Na 0.000 0.000 0.000  -0.03

Formation energy = 1.48 eV/atom
Offset from the most stable computed form = 0.000 kcal/mol of atoms